No. 1
Material: Ho4Sc3Te2
Method: DFT, GGA-PBE
State: relaxed

Crystal system = monoclinic

a b c (Å): 3.7293 9.2161 8.6606
angles (deg): 121.11 102.43 90.00
With the nearest neighbours (Å) after each atom.
Element x y z (fractional)
Ho 0.2100 0.8236 0.4200  2 Te 3.17, 3 Sc 3.21-3.40, 5 Ho 3.35-3.54
Sc 0.8495 0.7392 0.6990  3 Te 2.98-3.06
Sc 0.0000 0.5000 0.0000  4 Te 2.99, 2 Ho 3.21
Ho 0.5522 0.8851 0.1044  1 Te 3.29, 4 Ho 3.40-3.54, 6 Sc 3.48-3.68
Ho 0.4478 0.1149 0.8956  1 Te 3.29, 4 Ho 3.40-3.54, 6 Sc 3.48-3.68
Ho 0.7900 0.1764 0.5800  2 Te 3.17, 3 Sc 3.21-3.40, 5 Ho 3.35-3.54
Sc 0.1505 0.2608 0.3010  3 Te 2.98-3.06
Te 0.3623 0.5006 0.7246  5 Sc 2.98-3.06, 3 Ho 3.17-3.29
Te 0.6377 0.4994 0.2754  5 Sc 2.98-3.06, 3 Ho 3.17-3.29

---

No. 2
Material: HoSc6Te8
Method: DFT, GGA-PBE
State: relaxed

Crystal system = cubic

a b c (Å): 8.3213 8.3213 8.3213
angles (deg): 60.00 60.00 60.00
With the nearest neighbours (Å) after each atom.
Element x y z (fractional)
Te 0.7393 0.2607 0.2607  4 Sc 2.94, 1 Ho 3.07
Sc 0.5000 0.0000 0.0000  6 Te 2.94
Ho 0.0000 0.0000 0.0000  6 Te 3.07
Te 0.2500 0.2500 0.2500  6 Sc 2.94
Te 0.7393 0.7393 0.2607  4 Sc 2.94, 1 Ho 3.07
Sc 0.5000 0.0000 0.5000  6 Te 2.94
Sc 0.5000 0.5000 0.0000  6 Te 2.94
Te 0.7500 0.7500 0.7500  6 Sc 2.94
Sc 0.0000 0.0000 0.5000  6 Te 2.94
Te 0.2607 0.7393 0.7393  4 Sc 2.94, 1 Ho 3.07
Sc 0.0000 0.5000 0.5000  6 Te 2.94
Te 0.2607 0.2607 0.7393  4 Sc 2.94, 1 Ho 3.07
Sc 0.0000 0.5000 0.0000  6 Te 2.94
Te 0.7393 0.2607 0.7393  4 Sc 2.94, 1 Ho 3.07
Te 0.2607 0.7393 0.2607  4 Sc 2.94, 1 Ho 3.07

---

No. 3
Material: Ho2ScTe
Method: DFT, GGA-PBE
State: relaxed

Crystal system = trigonal
ΔE to the lowest computed polymorph = 440 meV/atom

a b c (Å): 3.7597 3.7597 10.5427
angles (deg): 79.73 79.73 60.00
With the nearest neighbours (Å) after each atom.
Element x y z (fractional)
Sc 0.0000 0.0000 0.0000  2 Ho 3.06
Ho 0.0989 0.0989 0.7034  3 Te 3.02, 1 Sc 3.06
Te 0.5000 0.5000 0.5000  6 Ho 3.02
Ho 0.9011 0.9011 0.2966  3 Te 3.02, 1 Sc 3.06

---

No. 4
Material: Ho4ScTe2
Method: DFT, GGA-PBE
State: relaxed

Crystal system = orthorhombic

a b c (Å): 7.3136 7.3138 9.0653
angles (deg): 106.38 106.38 107.49
With the nearest neighbours (Å) after each atom.
Element x y z (fractional)
Sc 0.9406 0.0593 0.9999  2 Te 3.02, 2 Ho 3.37
Ho 0.9178 0.6266 0.7096  3 Te 3.01-3.22, 1 Sc 3.37, 1 Ho 3.37
Sc 0.1908 0.8093 0.5001  2 Te 3.02, 2 Ho 3.37
Ho 0.4582 0.6671 0.7909  3 Te 3.01-3.22, 1 Sc 3.37, 1 Ho 3.37
Ho 0.7164 0.9394 0.5630  4 Te 3.07-3.44, 2 Ho 3.37-3.44
Te 0.6559 0.9145 0.1671  5 Ho 3.01-3.26, 1 Sc 3.02
Ho 0.8734 0.5966 0.0633  3 Te 3.07-3.40, 2 Ho 3.37-3.43
Te 0.5024 0.2611 0.6667  5 Ho 3.01-3.27, 1 Sc 3.02
Te 0.0855 0.3439 0.8328  5 Ho 3.01-3.27, 1 Sc 3.02
Ho 0.4038 0.1267 0.9369  3 Te 3.07-3.40, 2 Ho 3.37-3.44
Ho 0.0605 0.2837 0.4368  4 Te 3.07-3.44, 2 Ho 3.37-3.44
Ho 0.3327 0.5417 0.2090  3 Te 3.01-3.22, 1 Sc 3.37, 1 Ho 3.37
Te 0.7388 0.4977 0.3334  5 Ho 3.01-3.27, 1 Sc 3.02
Ho 0.3733 0.0823 0.2905  3 Te 3.01-3.22, 1 Sc 3.37, 1 Ho 3.37

---

No. 5
Material: Ho2ScTe
Method: DFT, GGA-PBE
State: relaxed

Crystal system = trigonal
ΔE to the lowest computed polymorph = 91 meV/atom

a b c (Å): 3.8066 3.8066 9.7076
angles (deg): 78.69 78.69 60.00
With the nearest neighbours (Å) after each atom.
Element x y z (fractional)
Sc 0.4996 0.4996 0.5011  6 Ho 3.38-3.40
Ho 0.2577 0.2577 0.2269  3 Te 3.07, 3 Sc 3.40
Ho 0.0759 0.0759 0.7723  3 Te 3.07, 3 Sc 3.38
Te 0.6668 0.6668 0.9996  6 Ho 3.07

---

No. 6
Material: Ho2ScTe
Method: DFT, GGA-PBE
State: relaxed

Crystal system = monoclinic
ΔE to the lowest computed polymorph = 0 meV/atom

a b c (Å): 3.8508 7.1783 10.4678
angles (deg): 124.13 90.00 105.55
With the nearest neighbours (Å) after each atom.
Element x y z (fractional)
Te 0.9472 0.3533 0.4857  6 Ho 3.14-3.18, 1 Sc 3.31
Ho 0.2320 0.9225 0.8675  2 Te 3.14, 2 Sc 3.33
Sc 0.7148 0.8886 0.1133  2 Sc 3.26, 7 Ho 3.28-3.56, 1 Te 3.31
Ho 0.2321 0.9233 0.3931  4 Te 3.18, 3 Ho 3.27-3.54, 3 Sc 3.28-3.39
Ho 0.4778 0.4142 0.7486  4 Te 3.18, 3 Ho 3.27-3.54, 3 Sc 3.28-3.40
Sc 0.9949 0.4488 0.0284  2 Sc 3.26, 7 Ho 3.28-3.56, 1 Te 3.31
Te 0.7628 0.9842 0.6561  6 Ho 3.14-3.18, 1 Sc 3.31
Ho 0.4779 0.4150 0.2743  2 Te 3.14, 2 Sc 3.33

---

no.,DOS at the Fermi energy (states/eV/atom),ΔE_f (raw) (meV/atom),DFT total energy (eV/atom)
1,1.1435,-487,-5.330
2,0.5927,-1200,-5.714
3,1.4910,-118,-4.775
4,1.2673,-574,-4.992
5,1.3638,-466,-5.123
6,1.3298,-558,-5.215